YTaClO4 | PBE | relaxed Values from VASP.

```
&SYSTEM
  ibrav = 0, nat = 14, ntyp = 4
/
ATOMIC_SPECIES
Y 88.91 Y.upf
Ta 180.95 Ta.upf
Cl 35.45 Cl.upf
O 16.00 O.upf
CELL_PARAMETERS angstrom
6.798 0.653 -0.274
2.868 6.198 -0.274
1.677 1.189 6.749
ATOMIC_POSITIONS crystal
Y 0.287 0.287 0.854
Y 0.713 0.713 0.146
Ta 0.639 0.639 0.726
Ta 0.361 0.361 0.274
Cl 0.022 0.022 0.128
Cl 0.978 0.978 0.872
O 0.293 0.293 0.539
O 0.707 0.707 0.461
O 0.101 0.509 0.142
O 0.523 0.523 0.223
O 0.491 0.899 0.858
O 0.509 0.101 0.142
O 0.477 0.477 0.777
O 0.899 0.491 0.858
```

* ΔE_f (raw): -2.6183 eV per atom
* calculated total energy: -8.332 eV/atom
* V: 19.7 Å³/atom
* total magnetic moment: 0.00 μB per formula unit
* SG: No. 12